This record from the Alexandria database describes a relaxed structure of ScMnTl2. The functional is PBE.

Cell: 3.535 3.535 7.267 Å, 90.00 90.00 90.00°
Space group P4mm (No. 99)
One atom of each set of equivalent atoms:
Sc1 0.000 0.000 0.000
Mn1 0.500 0.500 0.793
Tl1 0.000 0.000 0.564
Tl2 0.500 0.500 0.264

## Properties
E_tot in eV per atom: -4.899
Volume in Å³ per atom: 22.7
Calculated formation energy in eV/atom: 0.1598

---

This record from the Alexandria database describes a relaxed structure of La2Hg3. The functional is PBE.

Cell: 5.2567 5.2567 6.8582 Å, 90.00 90.00 120.00°
Space group P-3m1 (No. 164)
One atom of each set of equivalent atoms:
La1 0.3333 0.6667 0.3121
Hg1 0.0000 0.0000 0.5000
Hg2 0.3333 0.6667 0.8431

## Properties
E_tot in eV per atom: -2.486
Volume in Å³ per atom: 32.8
Energy relative to the lowest polymorph listed for this composition in meV/atom: 132.7
Calculated formation energy in eV/atom: -0.3339

---

This record from the Alexandria database describes a relaxed structure of KMoP2. The functional is PBE.

Cell: 7.433 7.423 2.723 Å, 90.00 107.35 90.00°
Space group C2/m (No. 12)
One atom of each set of equivalent atoms:
K1 0.000 0.000 0.000
Mo1 0.000 0.500 0.000
P1 0.250 0.250 0.500

## Properties
E_tot in eV per atom: -5.096
Volume in Å³ per atom: 17.9
Energy relative to the lowest polymorph listed for this composition in meV/atom: 894.4
Calculated formation energy in eV/atom: 0.5914

---

This record from the Alexandria database describes a relaxed structure of K2RbRu. The functional is PBE.

Cell: 8.629 8.629 8.629 Å, 90.00 90.00 90.00°
Space group Fm-3m (No. 225)
One atom of each set of equivalent atoms:
K1 0.250 0.250 0.250
Rb1 0.000 0.000 0.000
Ru1 0.000 0.000 0.500

## Properties
E_tot in eV per atom: -2.043
Volume in Å³ per atom: 40.2
Energy relative to the lowest polymorph listed for this composition in meV/atom: 0.0
Calculated formation energy in eV/atom: 1.0668

---

This record from the Alexandria database describes a relaxed structure of GaWSCl2. The functional is PBE.

Cell: 4.992 4.992 4.629 Å, 90.00 90.00 90.00°
Space group P4/mmm (No. 123)
One atom of each set of equivalent atoms:
Ga1 0.000 0.000 0.000
W1 0.500 0.500 0.500
S1 0.500 0.500 0.000
Cl1 0.000 0.500 0.500

## Properties
E_tot in eV per atom: -4.881
Volume in Å³ per atom: 23.1
Energy relative to the lowest polymorph listed for this composition in meV/atom: 0.0